A plane-wave DFT calculation with GGA-PBE was carried out for a relaxed structure of BiAuC2Cl.

Output
* calculated total energy: -3.13 eV per atom
* calculated density: 6.6 g/cm3
* spin magnetization: 0.2302 μB per atom
* E_form (uncorrected): 11.789 eV/f.u.

a b c (Å): 4.502 4.502 5.765
angles (deg): 90.00 90.00 90.00
Space group P4/mmm (No. 123)
Inequivalent atoms, fractional coordinates:
Bi 0.000 0.000 0.000
Au 0.000 0.000 0.500
C 0.000 0.500 0.000
Cl 0.500 0.500 0.500